[1]
Density functional theory data (GGA-PBE) for crystalline Er8Tm4Th at its relaxed geometry.

It has space group R-3m (No. 166, hexagonal axes), with a = 6.7757 Å, b = 6.7757 Å, c = 31.6692 Å, α = 90.00°, β = 90.00° and γ = 120.00°. The distinct sites, in fractional coordinates, are Er at (0.0000, 0.0000, 0.1996), Er at (0.0064, 0.5032, 0.7542), Tm at (0.0000, 0.0000, 0.0000), Tm at (0.0000, 0.5000, 0.0000) and Th at (0.0000, 0.0000, 0.5000).

The calculation puts the theoretical density at 8.885 Mg/m³. Its magnetization is 0.00 μB per formula unit. The calculation puts the energy of formation from the pure elements at 0.29 eV/atom. The raw total energy comes out at -4.46 eV/atom.

---

[2]
Density functional theory data (GGA-PBE) for crystalline Er6Tm3Th at its relaxed geometry.

It has space group Cmc2_1 (No. 36), with a = 9.3226 Å, b = 15.0584 Å, c = 8.8834 Å, α = 90.00°, β = 90.00° and γ = 90.00°. The distinct sites, in fractional coordinates, are Er at (0.0000, 0.0530, 0.0000), Er at (0.0000, 0.2822, 0.1297), Er at (0.1788, 0.3519, 0.5162), Er at (0.2474, 0.0590, 0.6868), Tm at (0.0000, 0.4480, 0.8722), Tm at (0.1755, 0.1451, 0.3597) and Th at (0.0000, 0.2235, 0.7638).

The value obtained for the energy above the most stable polymorph in this dataset is 0.000 eV/f.u. The calculation puts the theoretical density at 9.280 Mg/m³. Its magnetization is 0.00 μB per formula unit. The calculation puts the energy of formation from the pure elements at 0.15 eV/atom. The raw total energy comes out at -4.67 eV/atom.